PBE CdH2PtAu, optimized geometry; total DFT energy (no corrections) = -2.96 eV per atom
1.0
-1.0831 -3.0731 -1.7264
5.6238 -1.2383 -1.3238
0.3267 -1.8858 3.1519
Au Pt H Cd
1 1 2 1
Cartesian
0.0000 0.0000 0.0000
2.4337 -3.0986 0.0508
0.1634 -0.9429 1.5759
-0.5415 -1.5366 -0.8632
2.8119 -0.6192 -0.6619

---

PBE RbHgSbTe3, optimized geometry; formation energy (no corrections) = -0.41 eV/atom; total DFT energy (no corrections) = -2.87 eV per atom; E above lowest polymorph = 0 meV/atom
1.0
-3.2347 -3.0977 -0.9532
-1.1571 -1.7003 9.4519
-6.9286 8.0682 -2.7077
Hg Te Rb Sb
2 6 2 2
Cartesian
-6.1000 -0.8355 6.9176
-5.2203 4.1057 -1.1266
-6.4701 1.6991 -0.0632
-4.8503 1.5711 5.8542
-7.3313 5.1697 2.5793
-3.9890 -1.8994 3.2117
-4.2140 -2.9379 7.3500
-7.1063 6.2081 -1.5590
-2.8684 0.9834 1.0390
-8.4519 2.2869 4.7520
-8.8803 4.1919 0.0149
-2.4400 -0.9217 5.7761

---

PBE Ac2Zn2CdRh5, optimized geometry; total DFT energy (no corrections) = -5.28 eV per atom; formation energy from the elements = -10.02 kcal/mol of atoms
1.0
3.7771 0.0000 0.0000
0.0000 10.0425 0.0000
0.0000 0.0000 10.0425
Ac Rh Cd Zn
4 10 2 4
Cartesian
0.0000 1.8003 3.2210
0.0000 8.2423 6.8215
0.0000 6.8215 1.8003
0.0000 3.2210 8.2423
1.8885 7.9131 9.3823
1.8885 5.6815 7.1507
1.8885 0.6602 7.9131
1.8885 9.3823 2.1295
1.8885 2.8918 5.6815
1.8885 4.3610 2.8918
1.8885 5.0213 0.0000
1.8885 2.1295 0.6602
1.8885 7.1507 4.3610
1.8885 0.0000 5.0213
0.0000 0.0000 0.0000
0.0000 5.0213 5.0213
0.0000 3.8355 1.1857
0.0000 1.1857 6.2070
0.0000 6.2070 8.8568
0.0000 8.8568 3.8355

---

PBE KNaBr2, optimized geometry; formation energy (no corrections) = -1.53 eV/atom; total DFT energy (no corrections) = -2.97 eV per atom; E above lowest polymorph = 111 meV/atom
1.0
-2.0881 -2.7578 1.7421
0.8572 -2.4597 -2.8662
6.3490 -2.3395 3.9064
Br Na K
2 1 1
Cartesian
4.8511 -1.7875 2.9848
1.4979 -0.5520 0.9217
-0.6154 -2.6087 -0.5621
2.5591 -3.7785 1.3912

---

PBE SrCdAg2, optimized geometry; total DFT energy (no corrections) = -2.21 eV per atom; formation energy from the elements = -3.13 kcal/mol of atoms
1.0
5.4867 -0.0483 0.0000
1.3928 5.3072 0.0000
-3.4398 -2.6295 3.3705
Sr Ag Cd
1 2 1
Cartesian
2.7434 -0.0241 1.6852
0.6964 2.6536 1.6852
0.0000 0.0000 0.0000
3.4398 2.6295 0.0000

---

PBE CsSbH3, optimized geometry; total DFT energy (no corrections) = -2.88 eV per atom
1.0
4.4346 0.0000 0.0000
0.0000 4.4346 0.0000
0.0000 0.0000 4.4346
Sb H Cs
1 3 1
Cartesian
0.0000 0.0000 0.0000
0.0000 0.0000 2.2173
0.0000 2.2173 0.0000
2.2173 0.0000 0.0000
2.2173 2.2173 2.2173

---

PBE TaSiIr2, optimized geometry; formation energy (no corrections) = -0.45 eV/atom; total DFT energy (no corrections) = -9.20 eV per atom
1.0
-1.2294 2.5525 -0.3588
-0.3336 -0.6767 -3.6716
-5.0173 -2.2931 0.8785
Si Ir Ta
1 2 1
Cartesian
-2.0358 0.3646 -1.7956
-0.0397 -0.0181 0.0070
-2.4689 -1.1284 0.4323
-4.5445 -0.7819 -1.3563

---

PBE Na2Tl7Sn3, optimized geometry; total DFT energy (no corrections) = -2.57 eV per atom; formation energy from the elements = 0.80 kcal/mol of atoms
1.0
3.3564 0.0000 -0.3082
0.0000 5.2679 0.0000
1.9138 0.0000 21.5184
Sn Tl Na
3 7 2
Cartesian
1.6782 2.6340 -0.1541
1.6111 0.0000 7.4560
3.6591 0.0000 13.7543
1.6662 2.6340 18.6830
0.0000 0.0000 0.0000
1.9994 2.6340 12.1775
2.1092 0.0000 4.1942
3.2708 2.6340 9.0327
3.1610 0.0000 17.0160
3.6040 2.6340 2.5272
1.8335 2.6340 15.4099
3.4368 2.6340 5.8004

---

PBE In2SiAs, optimized geometry; formation energy (no corrections) = 0.41 eV/atom; total DFT energy (no corrections) = -3.47 eV per atom; E above lowest polymorph = 277 meV/atom
1.0
10.0977 -0.0698 -0.0409
9.6033 3.1219 -0.0409
9.6033 1.4878 2.7449
In Si As
2 1 1
Cartesian
29.2082 4.5250 2.6543
14.7482 2.2848 1.3403
7.3261 1.1350 0.6658
21.9782 3.4049 1.9973

---

PBE Cs2AuF5, optimized geometry; formation energy (no corrections) = -1.95 eV/atom; total DFT energy (no corrections) = -3.75 eV per atom; E above lowest polymorph = 0 meV/atom
1.0
5.1007 0.0000 0.0000
0.0000 6.1678 0.0000
0.0000 0.0000 6.1678
F Cs Au
5 2 1
Cartesian
0.0000 1.4113 4.7565
0.0000 4.7565 1.4113
0.0000 4.7565 4.7565
0.0000 1.4113 1.4113
2.5503 0.0000 0.0000
2.5503 0.0000 3.0839
2.5503 3.0839 0.0000
0.0000 0.0000 0.0000

---

PBE AlTcHPd2, optimized geometry; total DFT energy (no corrections) = -5.75 eV per atom
1.0
-1.6415 1.7527 3.0417
2.1626 -2.1402 2.4003
2.9482 2.8935 -0.0763
Al Pd Tc H
1 2 1 1
Cartesian
1.7347 1.2530 2.6829
-0.8207 0.8763 1.5209
1.0813 -1.0701 1.2001
1.4741 1.4468 -0.0381
0.0000 0.0000 0.0000

---

PBE SrLuMgTl, optimized geometry; total DFT energy (no corrections) = -2.70 eV per atom; formation energy from the elements = -3.59 kcal/mol of atoms
1.0
-3.4149 -4.3321 -0.3662
1.6440 -4.6055 -2.5787
1.0272 -4.5836 2.9151
Tl Sr Mg Lu
1 1 1 1
Cartesian
0.0000 0.0000 0.0000
-0.5578 -10.1409 -0.0223
-0.3719 -6.7606 -0.0149
-0.1859 -3.3803 -0.0074

---

PBE Zn2Au, optimized geometry; total DFT energy (no corrections) = -2.02 eV per atom; formation energy from the elements = -1.72 kcal/mol of atoms
1.0
4.5193 0.0000 0.0000
0.0000 4.5193 0.0000
0.0000 0.0000 2.8410
Zn Au
2 1
Cartesian
0.0000 2.2596 1.4205
2.2596 0.0000 1.4205
0.0000 0.0000 0.0000

---

PBE Ba6Sb2AsN, optimized geometry; formation energy (no corrections) = -0.89 eV/atom; total DFT energy (no corrections) = -4.16 eV per atom
1.0
-6.4494 1.2070 -4.6434
-1.6137 -8.3847 0.0617
-6.5472 1.3300 9.5013
N Ba Sb As
2 12 4 2
Cartesian
-6.4983 1.2685 2.4290
-0.8068 -4.1924 0.0309
-12.7743 -4.3655 5.2304
-4.6127 -0.6586 3.3224
-11.3349 -0.5533 5.7599
-8.9573 -6.6167 5.1455
-8.2194 -3.0977 -1.9532
-5.6529 0.7689 -0.2259
-8.4606 -0.8707 2.1231
-6.1496 -4.9771 2.7966
-9.9975 -5.1892 1.5973
-3.2754 -5.2945 -0.8402
-6.3909 -2.7500 6.8729
-1.8359 -1.4823 -0.3107
-9.1911 -3.1337 4.7404
-3.2808 -7.4576 2.3339
-5.4191 -2.7140 0.1793
-11.3294 1.6098 2.5858
-3.2247 0.6035 -2.3217
-4.0804 -3.5274 4.7815

---

PBE Dy5SbP4, optimized geometry; formation energy (no corrections) = -1.49 eV/atom; total DFT energy (no corrections) = -6.36 eV per atom
1.0
-2.7855 1.6050 2.4709
-5.8531 0.9311 -3.8763
-5.2857 -7.1884 2.0373
P Sb Dy
4 1 5
Cartesian
-3.9323 -0.7847 -0.5964
-9.9921 -3.8677 1.2284
-6.0334 -3.1687 1.9103
-7.8910 -1.4837 -1.2783
0.0000 0.0000 0.0000
-9.4777 -3.7592 -1.5890
-7.7130 -5.4571 1.5034
-5.5694 -3.1287 -0.9195
-6.2114 0.8048 -0.8713
-4.4467 -0.8932 2.2210

---

PBE CaBe2Ir, optimized geometry; total DFT energy (no corrections) = -4.71 eV per atom; E above lowest polymorph = 241 meV/atom; formation energy from the elements = -3.04 kcal/mol of atoms
1.0
-0.1306 -0.9351 -3.4326
-2.7903 -1.0299 0.3867
-3.4958 4.6879 -1.1441
Be Ir Ca
2 1 1
Cartesian
-3.9458 4.3211 -1.0270
-0.9486 0.2213 -1.8704
-5.2216 2.8765 -2.4311
-2.9397 1.8209 -0.3842

---

PBE BaPm2NpO8, optimized geometry; formation energy (no corrections) = -2.82 eV/atom; total DFT energy (no corrections) = -8.15 eV per atom
1.0
-1.3675 -3.6530 -1.4874
2.3990 -2.0745 4.4813
-6.7949 0.8941 4.0514
O Ba Pm Np
8 1 2 1
Cartesian
1.1000 -3.6697 2.6547
-2.0798 -3.8212 0.4406
-2.3669 -2.7097 4.4508
0.4311 -1.5536 4.1514
-6.1946 -3.2798 2.8939
-0.0685 -2.0578 0.3393
-3.3966 -2.1237 2.5945
-3.6836 -1.0121 6.6048
-3.3975 0.4470 2.0257
-4.6859 -2.1793 4.5984
-1.0776 -2.6541 2.4470
0.0000 0.0000 0.0000

---

PBE Gd2Dy4N, optimized geometry; formation energy (no corrections) = -0.27 eV/atom; total DFT energy (no corrections) = -8.11 eV per atom
1.0
4.7892 0.0000 0.0000
0.0000 4.7892 0.0000
2.3946 2.3946 8.8139
Gd Dy N
2 4 1
Cartesian
4.7892 4.7892 5.8096
2.3946 2.3946 3.0042
0.0000 2.3946 0.0000
2.3946 0.0000 0.0000
2.3946 2.3946 6.4812
4.7892 4.7892 2.3327
0.0000 0.0000 0.0000

---

PBE KNb2BiIr, optimized geometry; total DFT energy (no corrections) = -5.86 eV per atom; formation energy from the elements = 21.67 kcal/mol of atoms
1.0
4.9776 0.0000 0.0000
0.0000 5.8517 0.0000
0.0000 0.0000 4.9776
Nb Bi Ir K
2 1 1 1
Cartesian
0.0000 0.0000 2.4888
2.4888 0.0000 0.0000
0.0000 2.9258 0.0000
0.0000 0.0000 0.0000
2.4888 2.9258 2.4888

---

PBE Cd4HgAu, optimized geometry; total DFT energy (no corrections) = -1.08 eV per atom; E above lowest polymorph = 182 meV/atom; formation energy from the elements = 3.01 kcal/mol of atoms
1.0
-3.4507 3.7766 2.6214
0.4396 5.6054 -1.1947
-4.1538 2.6402 -2.9693
Hg Cd Au
1 4 1
Cartesian
-5.3736 9.0167 -1.1570
-4.4146 6.3978 0.7367
-2.6842 4.5039 -0.5779
-4.7672 5.8279 -2.0670
-2.4637 7.3149 -1.1770
0.0000 0.0000 0.0000

---

PBE CsHg2BiSb, optimized geometry; formation energy (no corrections) = -0.03 eV/atom; total DFT energy (no corrections) = -1.93 eV per atom; E above lowest polymorph = 0 meV/atom
1.0
-3.1722 4.8176 1.3072
-2.0252 -2.6576 4.8802
4.7313 2.2501 3.1888
Hg Sb Cs Bi
2 1 1 1
Cartesian
-1.5861 2.4088 0.6536
-1.0126 -1.3288 2.4401
0.0000 0.0000 0.0000
-0.2330 2.2051 4.6881
2.3657 1.1251 1.5944

---

PBE SrCd4Br, optimized geometry; formation energy (no corrections) = -0.30 eV/atom; total DFT energy (no corrections) = -1.47 eV per atom
1.0
-4.6614 -0.2870 4.1631
-5.9427 -0.0440 -1.9559
-3.4225 -5.2124 0.5096
Cd Br Sr
4 1 1
Cartesian
-7.5894 -2.2235 3.0965
-6.9713 -4.6807 1.2738
-8.2286 -2.1023 0.0438
-5.2639 -2.0803 1.0196
0.0000 0.0000 0.0000
-10.5199 -4.1576 2.0376

---

PBE K2MgTc, optimized geometry; total DFT energy (no corrections) = -2.40 eV per atom; formation energy from the elements = 26.33 kcal/mol of atoms
1.0
-4.2342 -0.9261 -1.1606
1.4847 -2.5985 -3.3430
0.0235 -4.6344 3.6127
Mg K Tc
1 2 1
Cartesian
-2.1053 -2.7803 1.2261
0.0000 0.0000 0.0000
-1.3747 -1.7623 -2.2518
0.7541 -3.6165 0.1348

---

PBE CaHf3Hg, optimized geometry; total DFT energy (no corrections) = -4.67 eV per atom; E above lowest polymorph = 802 meV/atom; formation energy from the elements = 40.76 kcal/mol of atoms
1.0
5.0560 0.0000 0.0000
0.0000 5.0560 0.0000
0.0000 0.0000 5.0560
Hg Hf Ca
1 3 1
Cartesian
2.5280 2.5280 2.5280
2.5280 0.0000 0.0000
0.0000 2.5280 0.0000
0.0000 0.0000 2.5280
0.0000 0.0000 0.0000

---

PBE CoAs4Pd, optimized geometry; total DFT energy (no corrections) = -5.41 eV per atom; formation energy from the elements = -6.09 kcal/mol of atoms
1.0
5.8973 0.0000 -0.1787
0.0000 5.9495 0.0000
-0.0904 0.0000 5.8945
As Pd Co
8 2 2
Cartesian
5.2895 3.6740 0.6333
2.3408 5.2502 0.7227
5.0721 0.7676 2.1886
3.6835 3.7423 3.4378
0.5175 2.2755 5.0825
2.1234 2.2072 2.2779
0.7349 5.1819 3.5272
3.4661 0.6992 4.9931
2.9487 2.9747 -0.0894
0.0000 0.0000 0.0000
-0.0452 2.9747 2.9473
2.9035 0.0000 2.8579